An optimized crystal structure of Sr2NdPuSe4. Source: the Alexandria database, functional PBE-GGA.

DOS at the Fermi energy = 14.0 states/eV/cell
Size of the total moment = 6.0 μB per formula unit
Uncorrected formation energy = -1.829 eV/atom

abc: 4.291 7.429 7.549
angles: 109.22 90.00 90.00
Each line ends with the local moment (μB).
Fractional positions:
Sr1 0.500 0.000 0.500  -0.01
Sr2 0.000 0.500 0.500  -0.02
Nd1 0.500 0.500 0.000  -0.07
Pu1 0.000 0.000 0.000  -5.50
Se1 0.500 0.243 0.237  0.04
Se2 0.500 0.757 0.763  0.04
Se3 0.000 0.252 0.761  0.01
Se4 0.000 0.748 0.239  0.01